Here is crystalline FeSn2BrCl at its relaxed geometry from Alexandria. Energies are from PBE-GGA.

Cell lengths 5.2592, 6.0295, 5.2592 Å; angles 90.00, 90.00, 90.00 degrees
Each line ends with the local moment (μB).
Fractional positions:
1 Fe 0.5000 0.5000 0.5000  3.42
2 Cl 0.0000 0.0000 0.0000  -0.01
3 Sn 0.5000 0.0000 0.0000  -0.08
4 Br 0.0000 0.5000 0.0000  0.05
5 Sn 0.0000 0.0000 0.5000  -0.07

- Space group: P4/mmm

=====

Here is crystalline ZnFeBr2Cl at its relaxed geometry from Alexandria. Energies are from PBE-GGA.

Cell lengths 6.2586, 4.1955, 6.2586 Å; angles 90.00, 90.00, 90.00 degrees
Each line ends with the local moment (μB).
Fractional positions:
1 Zn 0.5000 0.5000 0.5000  0.22
2 Br 0.5000 0.0000 0.0000  0.19
3 Cl 0.0000 0.0000 0.0000  0.23
4 Br 0.0000 0.0000 0.5000  0.31
5 Fe 0.0000 0.5000 0.0000  3.25

- Space group: P4/mmm

=====

Here is crystalline Ga2Br2Cl at its relaxed geometry from Alexandria. Energies are from PBE-GGA.

Cell lengths 5.7482, 5.7482, 5.6416 Å; angles 59.37, 59.37, 90.00 degrees
Fractional positions:
1 Br 0.2500 0.7500 0.5000
2 Br 0.7500 0.2500 0.5000
3 Ga 0.6831 0.6831 0.6339
4 Ga 0.3169 0.3169 0.3661
5 Cl 0.0000 0.0000 0.0000

- Space group: I4/mmm

=====

no.,calculated volume (Å³ per atom),total DFT energy (no corrections) (eV per cell)
1,33.35,-15.69
2,32.87,-12.65
3,25.85,-13.95